{
  "formula": "HgMo2Br",
  "functional": "SCAN",
  "state": "single point on PBEsol structure",
  "lattice_angstrom": [[3.1545, 0.0000, 0.0000], [0.0000, 3.1545, 0.0000], [0.0000, 0.0000, 7.8904]],
  "species": ["Hg", "Mo", "Mo", "Br"],
  "fractional_positions": [[0.0000, 0.0000, 0.0000], [0.0000, 0.0000, 0.4137], [0.5000, 0.5000, 0.2467], [0.5000, 0.5000, 0.6439]],
  "mass_density_g_cm3": 9.99,
  "volume_a3_per_cell": 78.5,
  "relative_energy_ev_per_atom": 0.000
}

---

{
  "formula": "Hg3MoBr",
  "functional": "SCAN",
  "state": "single point on PBEsol structure",
  "lattice_angstrom": [[5.4194, 0.0000, 0.0000], [0.0000, 5.4194, 0.0000], [0.0000, 0.0000, 5.4194]],
  "species": ["Hg", "Hg", "Hg", "Mo", "Br"],
  "fractional_positions": [[0.0000, 0.0000, 0.5000], [0.0000, 0.5000, 0.0000], [0.5000, 0.0000, 0.0000], [0.0000, 0.0000, 0.0000], [0.5000, 0.5000, 0.5000]],
  "mass_density_g_cm3": 8.11,
  "volume_a3_per_cell": 159.2
}

---

| no. | uncorrected formation energy (meV per atom) |
| --- | --- |
| 1 | 379 |
| 2 | 529 |